Entry from Alexandria via LeMat-Bulk: Tb2Nd3Ho4 after structural relaxation (PBE).

energy above the lowest structure with this stoichiometry	0	meV per atom
calculated total energy	-4.635	eV/atom
DFT formation energy	17.9	meV/atom

```
data_Tb2Nd3Ho4
_space_group_name_H-M_alt 'P 1'
_space_group_IT_number 1
_cell_length_a 6.200
_cell_length_b 6.200
_cell_length_c 14.767
_cell_angle_alpha 110.44
_cell_angle_beta 110.44
_cell_angle_gamma 33.61
loop_
_space_group_symop_operation_xyz
'x,y,z'
loop_
_atom_site_label
_atom_site_type_symbol
_atom_site_fract_x
_atom_site_fract_y
_atom_site_fract_z
Tb1 Tb 0.054 0.054 0.221
Tb2 Tb 0.946 0.946 0.779
Nd1 Nd 0.391 0.391 0.557
Nd2 Nd 0.500 0.500 0.000
Nd3 Nd 0.609 0.609 0.443
Ho1 Ho 0.170 0.170 0.670
Ho2 Ho 0.278 0.278 0.111
Ho3 Ho 0.722 0.722 0.889
Ho4 Ho 0.830 0.830 0.330
```